This record from the Alexandria database describes an optimized crystal structure of ZrRu. The functional is PBE.

Output
As for the formation energy: 841.1 meV/atom. The theoretical density is 5428 kg/m3.

```
data_ZrRu
_chemical_formula_sum 'Zr8 Ru8'
_symmetry_space_group_name_H-M 'I -4 3 m'
_symmetry_Int_Tables_number 217
_symmetry_space_group_name_Hall 'I -4 2 3'
_cell_length_a 7.7786
_cell_length_b 7.7786
_cell_length_c 7.7786
_cell_angle_alpha 90.00
_cell_angle_beta 90.00
_cell_angle_gamma 90.00
loop_
_atom_site_label
_atom_site_type_symbol
_atom_site_fract_x
_atom_site_fract_y
_atom_site_fract_z
Zr1 Zr 0.2032 0.2032 0.2032
Ru1 Ru 0.1250 0.1250 0.8750
```

This record from the Alexandria database describes an optimized crystal structure of ZrRu3. The functional is PBE.

Output
As for the formation energy: -61.9 meV/atom. The theoretical density is 10359 kg/m3.

```
data_ZrRu3
_chemical_formula_sum 'Zr2 Ru6'
_symmetry_space_group_name_H-M 'C 1 2/m 1'
_symmetry_Int_Tables_number 12
_cell_length_a 9.3303
_cell_length_b 2.9005
_cell_length_c 4.7711
_cell_angle_alpha 90.00
_cell_angle_beta 101.66
_cell_angle_gamma 90.00
loop_
_symmetry_equiv_pos_as_xyz
'x,y,z'
'-x,-y,-z'
'-x,y,-z'
'x,-y,z'
'x+1/2,y+1/2,z'
'-x+1/2,-y+1/2,-z'
'-x+1/2,y+1/2,-z'
'x+1/2,-y+1/2,z'
loop_
_atom_site_label
_atom_site_type_symbol
_atom_site_fract_x
_atom_site_fract_y
_atom_site_fract_z
Zr1 Zr 0.0000 0.0000 0.0000
Ru1 Ru 0.0000 0.5000 0.5000
Ru2 Ru 0.2383 0.0000 0.7221
```

This record from the Alexandria database describes an optimized crystal structure of Zr3Ru5. The functional is PBE.

Output
As for the formation energy: -337.6 meV/atom. The theoretical density is 9730 kg/m3.

```
data_Zr3Ru5
_chemical_formula_sum 'Zr6 Ru10'
_symmetry_space_group_name_H-M 'C m m m'
_symmetry_Int_Tables_number 65
_symmetry_space_group_name_Hall '-C 2 2'
_cell_length_a 6.8078
_cell_length_b 8.8790
_cell_length_c 4.3991
_cell_angle_alpha 90.00
_cell_angle_beta 90.00
_cell_angle_gamma 90.00
loop_
_atom_site_label
_atom_site_type_symbol
_atom_site_fract_x
_atom_site_fract_y
_atom_site_fract_z
Zr1 Zr 0.0000 0.0000 0.0000
Zr2 Zr 0.0000 0.2818 0.5000
Ru1 Ru 0.0000 0.5000 0.0000
Ru2 Ru 0.2227 0.0000 0.5000
Ru3 Ru 0.2500 0.2500 0.0000
```

This record from the Alexandria database describes an optimized crystal structure of Zr3Ru2. The functional is PBE.

Output
The relative energy among the computed polymorphs comes out at 359.4 meV/atom. As for the formation energy: -153.9 meV/atom. The theoretical density is 8190 kg/m3.

```
data_Zr3Ru2
_chemical_formula_sum 'Zr9 Ru6'
_symmetry_space_group_name_H-M 'R -3 m'
_symmetry_Int_Tables_number 166
_symmetry_space_group_name_Hall '-R 3 2"'
_cell_length_a 3.2205
_cell_length_b 3.2205
_cell_length_c 32.2212
_cell_angle_alpha 90.00
_cell_angle_beta 90.00
_cell_angle_gamma 120.00
loop_
_atom_site_label
_atom_site_type_symbol
_atom_site_fract_x
_atom_site_fract_y
_atom_site_fract_z
Zr1 Zr 0.0000 0.0000 0.0000
Zr2 Zr 0.0000 0.0000 0.2074
Ru1 Ru 0.0000 0.0000 0.3965
```

This record from the Alexandria database describes an optimized crystal structure of ZrRu3. The functional is PBE.

Output
As for the formation energy: 100.4 meV/atom. The theoretical density is 10359 kg/m3.

```
data_ZrRu3
_chemical_formula_sum 'Zr3 Ru9'
_symmetry_space_group_name_H-M 'R -3 m'
_symmetry_Int_Tables_number 166
_symmetry_space_group_name_Hall '-R 3 2"'
_cell_length_a 8.7949
_cell_length_b 8.7949
_cell_length_c 2.8317
_cell_angle_alpha 90.00
_cell_angle_beta 90.00
_cell_angle_gamma 120.00
loop_
_atom_site_label
_atom_site_type_symbol
_atom_site_fract_x
_atom_site_fract_y
_atom_site_fract_z
Zr1 Zr 0.0000 0.0000 0.0000
Ru1 Ru 0.0000 0.5000 0.0000
```

This record from the Alexandria database describes an optimized crystal structure of ZrRu3. The functional is PBE.

Output
As for the formation energy: -146.9 meV/atom. The theoretical density is 10475 kg/m3.

```
data_ZrRu3
_chemical_formula_sum 'Zr1 Ru3'
_symmetry_space_group_name_H-M 'P m -3 m'
_symmetry_Int_Tables_number 221
_symmetry_space_group_name_Hall '-P 4 2 3'
_cell_length_a 3.9690
_cell_length_b 3.9690
_cell_length_c 3.9690
_cell_angle_alpha 90.00
_cell_angle_beta 90.00
_cell_angle_gamma 90.00
loop_
_atom_site_label
_atom_site_type_symbol
_atom_site_fract_x
_atom_site_fract_y
_atom_site_fract_z
Zr1 Zr 0.0000 0.0000 0.0000
Ru1 Ru 0.0000 0.5000 0.5000
```

This record from the Alexandria database describes an optimized crystal structure of ZrRu. The functional is PBE.

Output
As for the formation energy: -335.2 meV/atom. The theoretical density is 8763 kg/m3.

```
data_ZrRu
_chemical_formula_sum 'Zr6 Ru6'
_symmetry_space_group_name_H-M 'C 1 m 1'
_symmetry_Int_Tables_number 8
_cell_length_a 9.9176
_cell_length_b 3.1807
_cell_length_c 7.7429
_cell_angle_alpha 90.00
_cell_angle_beta 116.47
_cell_angle_gamma 90.00
loop_
_symmetry_equiv_pos_as_xyz
'x,y,z'
'x,-y,z'
'x+1/2,y+1/2,z'
'x+1/2,-y+1/2,z'
loop_
_atom_site_label
_atom_site_type_symbol
_atom_site_fract_x
_atom_site_fract_y
_atom_site_fract_z
Zr1 Zr 0.0000 0.0000 0.0000
Zr2 Zr 0.1084 0.5000 0.7050
Zr3 Zr 0.2711 0.5000 0.3805
Ru1 Ru 0.0282 0.0000 0.3582
Ru2 Ru 0.2824 0.0000 0.0621
Ru3 Ru 0.3321 0.0000 0.6963
```

This record from the Alexandria database describes an optimized crystal structure of Zr3Ru5. The functional is PBE.

Output
As for the formation energy: -200.2 meV/atom. The theoretical density is 9573 kg/m3.

```
data_Zr3Ru5
_chemical_formula_sum 'Zr6 Ru10'
_symmetry_space_group_name_H-M 'P -1'
_symmetry_Int_Tables_number 2
_cell_length_a 5.5049
_cell_length_b 6.9418
_cell_length_c 7.5176
_cell_angle_alpha 77.01
_cell_angle_beta 84.88
_cell_angle_gamma 75.02
loop_
_symmetry_equiv_pos_as_xyz
'x,y,z'
'-x,-y,-z'
loop_
_atom_site_label
_atom_site_type_symbol
_atom_site_fract_x
_atom_site_fract_y
_atom_site_fract_z
Zr1 Zr 0.1154 0.0772 0.1778
Zr2 Zr 0.1676 0.6345 0.5382
Zr3 Zr 0.2809 0.4716 0.9496
Ru1 Ru 0.0014 0.2747 0.8080
Ru2 Ru 0.2659 0.0126 0.5530
Ru3 Ru 0.3703 0.3465 0.3275
Ru4 Ru 0.3818 0.8959 0.9091
Ru5 Ru 0.4889 0.2314 0.7018
```

This record from the Alexandria database describes an optimized crystal structure of Zr3Ru. The functional is PBE.

Output
As for the formation energy: 50.9 meV/atom. The theoretical density is 6992 kg/m3.

```
data_Zr3Ru
_chemical_formula_sum 'Zr3 Ru1'
_symmetry_space_group_name_H-M 'P m m 2'
_symmetry_Int_Tables_number 25
_cell_length_a 3.1202
_cell_length_b 3.2379
_cell_length_c 8.8088
_cell_angle_alpha 90.00
_cell_angle_beta 90.00
_cell_angle_gamma 90.00
loop_
_symmetry_equiv_pos_as_xyz
'x,y,z'
'-x,-y,z'
'-x,y,z'
'x,-y,z'
loop_
_atom_site_label
_atom_site_type_symbol
_atom_site_fract_x
_atom_site_fract_y
_atom_site_fract_z
Zr1 Zr 0.0000 0.0000 0.0000
Zr2 Zr 0.0000 0.5000 0.3330
Zr3 Zr 0.5000 0.5000 0.7458
Ru1 Ru 0.5000 0.0000 0.5006
```

This record from the Alexandria database describes an optimized crystal structure of ZrRu. The functional is PBE.

Output
As for the formation energy: -179.2 meV/atom. The theoretical density is 8731 kg/m3.

```
data_ZrRu
_chemical_formula_sum 'Zr3 Ru3'
_symmetry_space_group_name_H-M 'R -3 m'
_symmetry_Int_Tables_number 166
_symmetry_space_group_name_Hall '-R 3 2"'
_cell_length_a 3.2188
_cell_length_b 3.2188
_cell_length_c 12.2280
_cell_angle_alpha 90.00
_cell_angle_beta 90.00
_cell_angle_gamma 120.00
loop_
_atom_site_label
_atom_site_type_symbol
_atom_site_fract_x
_atom_site_fract_y
_atom_site_fract_z
Zr1 Zr 0.0000 0.0000 0.0000
Ru1 Ru 0.0000 0.0000 0.5000
```

This record from the Alexandria database describes an optimized crystal structure of ZrRu. The functional is PBE.

Output
As for the formation energy: 62.6 meV/atom. The theoretical density is 8227 kg/m3.

```
data_ZrRu
_chemical_formula_sum 'Zr4 Ru4'
_symmetry_space_group_name_H-M 'F m -3 m'
_symmetry_Int_Tables_number 225
_symmetry_space_group_name_Hall '-F 4 2 3'
_cell_length_a 5.3745
_cell_length_b 5.3745
_cell_length_c 5.3745
_cell_angle_alpha 90.00
_cell_angle_beta 90.00
_cell_angle_gamma 90.00
loop_
_atom_site_label
_atom_site_type_symbol
_atom_site_fract_x
_atom_site_fract_y
_atom_site_fract_z
Zr1 Zr 0.0000 0.0000 0.0000
Ru1 Ru 0.0000 0.0000 0.5000
```

This record from the Alexandria database describes an optimized crystal structure of ZrRu. The functional is PBE.

Output
As for the formation energy: -228.3 meV/atom. The theoretical density is 8573 kg/m3.

```
data_ZrRu
_chemical_formula_sum 'Zr8 Ru8'
_symmetry_space_group_name_H-M 'P 4/m n c'
_symmetry_Int_Tables_number 128
_symmetry_space_group_name_Hall '-P 4 2n'
_cell_length_a 8.0664
_cell_length_b 8.0664
_cell_length_c 4.5794
_cell_angle_alpha 90.00
_cell_angle_beta 90.00
_cell_angle_gamma 90.00
loop_
_atom_site_label
_atom_site_type_symbol
_atom_site_fract_x
_atom_site_fract_y
_atom_site_fract_z
Zr1 Zr 0.0238 0.2945 0.0000
Ru1 Ru 0.1204 0.8067 0.5000
```

This record from the Alexandria database describes an optimized crystal structure of ZrRu. The functional is PBE.

Output
As for the formation energy: -361.9 meV/atom. The theoretical density is 8757 kg/m3.

```
data_ZrRu
_chemical_formula_sum 'Zr4 Ru4'
_symmetry_space_group_name_H-M 'P 21 3'
_symmetry_Int_Tables_number 198
_symmetry_space_group_name_Hall 'P 2ac 2ab 3'
_cell_length_a 5.2640
_cell_length_b 5.2640
_cell_length_c 5.2640
_cell_angle_alpha 90.00
_cell_angle_beta 90.00
_cell_angle_gamma 90.00
loop_
_atom_site_label
_atom_site_type_symbol
_atom_site_fract_x
_atom_site_fract_y
_atom_site_fract_z
Zr1 Zr 0.0848 0.0848 0.0848
Ru1 Ru 0.0840 0.5840 0.9160
```